[1]
HoTh2Co | PBE-GGA | relaxed

## Properties
calculated formation energy = -0.7 eV/f.u.
polymorph energy (0 for the lowest one) = 0 meV/atom

POSCAR file:
```
HoTh2Co
1.0
3.679 0.001 0.000
-1.838 5.841 0.000
0.000 0.000 9.802
Th Co Ho
4 2 2
Direct
0.637 0.276 0.434
0.363 0.724 0.934
0.363 0.724 0.566
0.637 0.276 0.066
0.798 0.595 0.750
0.202 0.405 0.250
0.911 0.822 0.250
0.089 0.178 0.750
```

[2]
HoThCo2 | PBE-GGA | relaxed

## Properties
calculated formation energy = -0.6 eV/f.u.
polymorph energy (0 for the lowest one) = 120 meV/atom

POSCAR file:
```
HoThCo2
1.0
4.798 0.000 0.000
2.399 4.155 0.000
2.399 1.385 3.918
Co Ho Th
2 1 1
Direct
0.750 0.750 0.750
0.250 0.250 0.250
0.000 0.000 0.000
0.500 0.500 0.500
```

[3]
HoTh2Co2 | PBE-GGA | relaxed

## Properties
calculated formation energy = -1.2 eV/f.u.
polymorph energy (0 for the lowest one) = 0 meV/atom

POSCAR file:
```
HoTh2Co2
1.0
3.745 0.000 0.000
0.000 7.651 0.000
0.000 0.000 7.651
Th Co Ho
4 4 2
Direct
0.500 0.164 0.664
0.500 0.336 0.164
0.500 0.836 0.336
0.500 0.664 0.836
0.000 0.130 0.370
0.000 0.370 0.870
0.000 0.870 0.630
0.000 0.630 0.130
0.000 0.000 0.000
0.000 0.500 0.500
```

[4]
HoTh2Co | PBE-GGA | relaxed

## Properties
calculated formation energy = -0.7 eV/f.u.
polymorph energy (0 for the lowest one) = 4 meV/atom

POSCAR file:
```
HoTh2Co
1.0
-3.164 -2.910 -4.411
-4.017 -2.998 4.859
-6.277 7.591 -0.505
Th Co Ho
8 4 4
Direct
0.669 0.823 0.932
0.331 0.177 0.432
0.331 0.177 0.068
0.831 0.323 0.568
0.169 0.677 0.432
0.669 0.823 0.568
0.169 0.677 0.068
0.831 0.323 0.932
0.885 0.606 0.750
0.385 0.894 0.250
0.115 0.394 0.250
0.615 0.106 0.750
0.840 0.045 0.250
0.340 0.455 0.750
0.160 0.955 0.750
0.660 0.545 0.250
```

[5]
Ho2ThCo2 | PBE-GGA | relaxed

## Properties
calculated formation energy = -1.4 eV/f.u.
polymorph energy (0 for the lowest one) = 0 meV/atom

POSCAR file:
```
Ho2ThCo2
1.0
3.427 0.003 1.457
0.988 5.397 2.420
-0.506 0.604 5.944
Th Ho Co
1 2 2
Direct
0.500 0.500 0.000
0.689 0.811 0.311
0.311 0.189 0.689
0.000 0.804 0.696
0.000 0.196 0.304
```

[6]
HoTh2Co | PBE-GGA | relaxed

## Properties
calculated formation energy = -0.3 eV/f.u.
polymorph energy (0 for the lowest one) = 111 meV/atom

POSCAR file:
```
HoTh2Co
1.0
3.811 0.000 0.000
1.906 3.301 0.000
1.906 1.100 8.945
Ho Th Co
1 2 1
Direct
0.499 0.499 0.503
0.274 0.274 0.179
0.061 0.061 0.818
0.667 0.667 0.000
```